# 1
Entry from Alexandria via LeMat-Bulk: a relaxed LaYNiSn2 crystal (GGA-PBE).

Calculated values
- energy of formation (kJ/mol of formula units) = 241
- spin magnetization (μB/f.u.) = 0.0
- crystal system = tetragonal
- volume (Å³/atom) = 32.3

The structure in CIF format:
```
data_LaYNiSn2
_cell_length_a 5.891
_cell_length_b 4.648
_cell_length_c 5.891
_cell_angle_alpha 90.00
_cell_angle_beta 90.00
_cell_angle_gamma 90.00
_space_group_name_H-M_alt 'P 1'
_space_group_IT_number 1
loop_
_space_group_symop_operation_xyz
'x,y,z'
loop_
_atom_site_label
_atom_site_type_symbol
_atom_site_fract_x
_atom_site_fract_y
_atom_site_fract_z
_atom_site_occupancy
Y1 Y 0.500 0.500 0.500 1
Ni1 Ni 0.000 0.500 0.000 1
Sn1 Sn 0.000 0.000 0.500 1
Sn2 Sn 0.500 0.000 0.000 1
La1 La 0.000 0.000 0.000 1
```


# 2
Entry from Alexandria via LeMat-Bulk: a relaxed La2ZnNi3Sn4 crystal (GGA-PBE).

Calculated values
- energy of formation (kJ/mol of formula units) = -534
- spin magnetization (μB/f.u.) = 0.0
- crystal system = tetragonal
- volume (Å³/atom) = 21.3

The structure in CIF format:
```
data_La2ZnNi3Sn4
_cell_length_a 4.513
_cell_length_b 4.513
_cell_length_c 10.448
_cell_angle_alpha 90.00
_cell_angle_beta 90.00
_cell_angle_gamma 90.00
_space_group_name_H-M_alt 'P 1'
_space_group_IT_number 1
loop_
_space_group_symop_operation_xyz
'x,y,z'
loop_
_atom_site_label
_atom_site_type_symbol
_atom_site_fract_x
_atom_site_fract_y
_atom_site_fract_z
_atom_site_occupancy
La1 La 0.500 0.000 0.253 1
La2 La 0.000 0.500 0.747 1
Zn1 Zn 0.500 0.500 0.500 1
Ni1 Ni 0.000 0.000 0.500 1
Ni2 Ni 0.500 0.000 0.878 1
Ni3 Ni 0.000 0.500 0.122 1
Sn1 Sn 0.500 0.500 0.000 1
Sn2 Sn 0.000 0.000 0.000 1
Sn3 Sn 0.500 0.000 0.636 1
Sn4 Sn 0.000 0.500 0.364 1
```


# 3
Entry from Alexandria via LeMat-Bulk: a relaxed LaZn2NiSn crystal (GGA-PBE).

Calculated values
- energy of formation (kJ/mol of formula units) = -158
- spin magnetization (μB/f.u.) = 0.0
- crystal system = tetragonal
- volume (Å³/atom) = 21.6

The structure in CIF format:
```
data_LaZn2NiSn
_cell_length_a 4.699
_cell_length_b 4.699
_cell_length_c 4.883
_cell_angle_alpha 90.00
_cell_angle_beta 90.00
_cell_angle_gamma 90.00
_space_group_name_H-M_alt 'P 1'
_space_group_IT_number 1
loop_
_space_group_symop_operation_xyz
'x,y,z'
loop_
_atom_site_label
_atom_site_type_symbol
_atom_site_fract_x
_atom_site_fract_y
_atom_site_fract_z
_atom_site_occupancy
Ni1 Ni 0.000 0.000 0.000 1
Zn1 Zn 0.000 0.500 0.000 1
Zn2 Zn 0.500 0.000 0.000 1
Sn1 Sn 0.000 0.000 0.500 1
La1 La 0.500 0.500 0.500 1
```


# 4
Entry from Alexandria via LeMat-Bulk: a relaxed LaZrNi2Sn crystal (GGA-PBE).

Calculated values
- energy of formation (kJ/mol of formula units) = 446
- spin magnetization (μB/f.u.) = 0.0
- crystal system = tetragonal
- volume (Å³/atom) = 25.2

The structure in CIF format:
```
data_LaZrNi2Sn
_cell_length_a 4.619
_cell_length_b 5.898
_cell_length_c 4.619
_cell_angle_alpha 90.00
_cell_angle_beta 90.00
_cell_angle_gamma 90.00
_space_group_name_H-M_alt 'P 1'
_space_group_IT_number 1
loop_
_space_group_symop_operation_xyz
'x,y,z'
loop_
_atom_site_label
_atom_site_type_symbol
_atom_site_fract_x
_atom_site_fract_y
_atom_site_fract_z
_atom_site_occupancy
Ni1 Ni 0.000 0.000 0.500 1
Ni2 Ni 0.500 0.000 0.000 1
Sn1 Sn 0.000 0.500 0.000 1
Zr1 Zr 0.500 0.500 0.500 1
La1 La 0.000 0.000 0.000 1
```


# 5
Entry from Alexandria via LeMat-Bulk: a relaxed SrLaNi3 crystal (GGA-PBE).

Calculated values
- energy of formation (kJ/mol of formula units) = 451
- spin magnetization (μB/f.u.) = 0.0
- energy relative to the lowest polymorph listed for this composition (eV/atom) = 0.3471
- crystal system = cubic
- volume (Å³/atom) = 24.2

The structure in CIF format:
```
data_SrLaNi3
_cell_length_a 4.947
_cell_length_b 4.947
_cell_length_c 4.947
_cell_angle_alpha 90.00
_cell_angle_beta 90.00
_cell_angle_gamma 90.00
_space_group_name_H-M_alt 'P 1'
_space_group_IT_number 1
loop_
_space_group_symop_operation_xyz
'x,y,z'
loop_
_atom_site_label
_atom_site_type_symbol
_atom_site_fract_x
_atom_site_fract_y
_atom_site_fract_z
_atom_site_occupancy
Sr1 Sr 0.000 0.000 0.000 1
Ni1 Ni 0.000 0.500 0.000 1
Ni2 Ni 0.000 0.000 0.500 1
Ni3 Ni 0.500 0.000 0.000 1
La1 La 0.500 0.500 0.500 1
```


# 6
Entry from Alexandria via LeMat-Bulk: a relaxed SrLaNi crystal (GGA-PBE).

Calculated values
- energy of formation (kJ/mol of formula units) = -27
- spin magnetization (μB/f.u.) = 0.0
- energy relative to the lowest polymorph listed for this composition (eV/atom) = 0.1000
- crystal system = triclinic
- volume (Å³/atom) = 35.4

The structure in CIF format:
```
data_SrLaNi
_cell_length_a 4.160
_cell_length_b 7.419
_cell_length_c 8.156
_cell_angle_alpha 61.93
_cell_angle_beta 104.93
_cell_angle_gamma 89.99
_space_group_name_H-M_alt 'P 1'
_space_group_IT_number 1
loop_
_space_group_symop_operation_xyz
'x,y,z'
loop_
_atom_site_label
_atom_site_type_symbol
_atom_site_fract_x
_atom_site_fract_y
_atom_site_fract_z
_atom_site_occupancy
Ni1 Ni 0.749 0.233 0.497 1
Ni2 Ni 0.251 0.767 0.503 1
La1 La 0.144 0.190 0.290 1
La2 La 0.856 0.810 0.710 1
Sr1 Sr 0.625 0.704 0.252 1
Sr2 Sr 0.375 0.296 0.748 1
```